(1)
VASP calculation (PBE-GGA) on CdNi2P after structural relaxation. Values from VASP.

Properties
Calculated volume in Å³ per cell: 178.4
Calculated total energy in eV/atom: -4.35

Cell and atoms, written as Quantum ESPRESSO input:
```
&SYSTEM
  ibrav = 0, nat = 12, ntyp = 3
/
ATOMIC_SPECIES
Cd 112.41 Cd.upf
Ni 58.69 Ni.upf
P 30.97 P.upf
CELL_PARAMETERS angstrom
2.885 0.000 0.000
-1.442 2.498 0.000
0.000 0.000 24.753
ATOMIC_POSITIONS crystal
Cd 0.000 0.000 0.000
Cd 0.333 0.667 0.667
Cd 0.667 0.333 0.333
Ni 0.000 0.000 0.498
Ni 0.000 0.000 0.755
Ni 0.333 0.667 0.165
Ni 0.333 0.667 0.421
Ni 0.667 0.333 0.088
Ni 0.667 0.333 0.831
P 0.000 0.000 0.223
P 0.333 0.667 0.890
P 0.667 0.333 0.556
```

(2)
VASP calculation (PBE-GGA) on CdNi2P after structural relaxation. Values from VASP.

Properties
Calculated volume in Å³ per cell: 59.0
Calculated total energy in eV/atom: -4.54

Cell and atoms, written as Quantum ESPRESSO input:
```
&SYSTEM
  ibrav = 0, nat = 4, ntyp = 3
/
ATOMIC_SPECIES
Cd 112.41 Cd.upf
Ni 58.69 Ni.upf
P 30.97 P.upf
CELL_PARAMETERS angstrom
2.949 0.000 0.000
0.000 4.066 0.000
-1.435 0.000 4.917
ATOMIC_POSITIONS crystal
Cd 0.000 0.000 0.000
Ni 0.263 0.000 0.516
Ni 0.670 0.500 0.327
P 0.333 0.500 0.664
```

(3)
VASP calculation (PBE-GGA) on CdNi2P after structural relaxation. Values from VASP.

Properties
Calculated volume in Å³ per cell: 53.7
Calculated total energy in eV/atom: -4.63

Cell and atoms, written as Quantum ESPRESSO input:
```
&SYSTEM
  ibrav = 0, nat = 4, ntyp = 3
/
ATOMIC_SPECIES
Cd 112.41 Cd.upf
Ni 58.69 Ni.upf
P 30.97 P.upf
CELL_PARAMETERS angstrom
2.872 0.000 0.000
0.000 2.872 0.000
0.000 0.000 6.514
ATOMIC_POSITIONS crystal
Cd 0.000 0.000 0.000
Ni 0.500 0.500 0.310
Ni 0.500 0.500 0.690
P 0.000 0.000 0.500
```

(4)
VASP calculation (PBE-GGA) on CdNi2P after structural relaxation. Values from VASP.

Properties
Calculated volume in Å³ per cell: 118.9
Calculated total energy in eV/atom: -4.60

Cell and atoms, written as Quantum ESPRESSO input:
```
&SYSTEM
  ibrav = 0, nat = 8, ntyp = 3
/
ATOMIC_SPECIES
Cd 112.41 Cd.upf
Ni 58.69 Ni.upf
P 30.97 P.upf
CELL_PARAMETERS angstrom
2.869 0.000 0.000
0.000 3.234 0.000
0.000 0.000 12.814
ATOMIC_POSITIONS crystal
Cd 0.000 0.000 0.000
Cd 0.500 0.500 0.500
Ni 0.000 0.000 0.367
Ni 0.000 0.500 0.183
Ni 0.500 0.000 0.683
Ni 0.500 0.500 0.867
P 0.000 0.500 0.737
P 0.500 0.000 0.237
```

(5)
VASP calculation (PBE-GGA) on CdNi2P after structural relaxation. Values from VASP.

Properties
Calculated volume in Å³ per cell: 109.3
Calculated total energy in eV/atom: -4.33

Cell and atoms, written as Quantum ESPRESSO input:
```
&SYSTEM
  ibrav = 0, nat = 8, ntyp = 3
/
ATOMIC_SPECIES
Cd 112.41 Cd.upf
Ni 58.69 Ni.upf
P 30.97 P.upf
CELL_PARAMETERS angstrom
3.653 0.000 0.000
0.000 3.653 0.000
0.000 0.000 8.193
ATOMIC_POSITIONS crystal
Cd 0.000 0.000 0.000
Cd 0.500 0.500 0.500
Ni 0.000 0.000 0.500
Ni 0.000 0.500 0.750
Ni 0.500 0.000 0.250
Ni 0.500 0.500 0.000
P 0.000 0.500 0.250
P 0.500 0.000 0.750
```

(6)
VASP calculation (PBE-GGA) on CdNi2P after structural relaxation. Values from VASP.

Properties
Calculated volume in Å³ per cell: 114.9
Calculated total energy in eV/atom: -4.49

Cell and atoms, written as Quantum ESPRESSO input:
```
&SYSTEM
  ibrav = 0, nat = 8, ntyp = 3
/
ATOMIC_SPECIES
Cd 112.41 Cd.upf
Ni 58.69 Ni.upf
P 30.97 P.upf
CELL_PARAMETERS angstrom
3.517 0.000 0.000
0.000 4.731 0.000
0.000 0.000 6.905
ATOMIC_POSITIONS crystal
Cd 0.000 0.000 0.000
Cd 0.500 0.500 0.500
Ni 0.000 0.500 0.192
Ni 0.000 0.500 0.808
Ni 0.500 0.000 0.308
Ni 0.500 0.000 0.692
P 0.000 0.000 0.500
P 0.500 0.500 0.000
```

(7)
VASP calculation (PBE-GGA) on CdNi2P after structural relaxation. Values from VASP.

Properties
Calculated volume in Å³ per cell: 281.7
Calculated total energy in eV/atom: -4.41

Cell and atoms, written as Quantum ESPRESSO input:
```
&SYSTEM
  ibrav = 0, nat = 16, ntyp = 3
/
ATOMIC_SPECIES
Cd 112.41 Cd.upf
Ni 58.69 Ni.upf
P 30.97 P.upf
CELL_PARAMETERS angstrom
4.392 0.000 0.000
0.000 4.392 0.000
0.000 0.000 14.604
ATOMIC_POSITIONS crystal
Cd 0.000 0.000 0.000
Cd 0.000 0.500 0.250
Cd 0.500 0.000 0.750
Cd 0.500 0.500 0.500
Ni 0.085 0.250 0.625
Ni 0.250 0.585 0.875
Ni 0.250 0.915 0.375
Ni 0.415 0.250 0.125
Ni 0.585 0.750 0.125
Ni 0.750 0.085 0.375
Ni 0.750 0.415 0.875
Ni 0.915 0.750 0.625
P 0.000 0.000 0.500
P 0.000 0.500 0.750
P 0.500 0.000 0.250
P 0.500 0.500 0.000
```

(8)
VASP calculation (PBE-GGA) on CdNiPPt2 after structural relaxation. Values from VASP.

Properties
Calculated volume in Å³ per cell: 115.8
Calculated total energy in eV/atom: -3.20

Cell and atoms, written as Quantum ESPRESSO input:
```
&SYSTEM
  ibrav = 0, nat = 5, ntyp = 4
/
ATOMIC_SPECIES
Cd 112.41 Cd.upf
Ni 58.69 Ni.upf
P 30.97 P.upf
Pt 195.08 Pt.upf
CELL_PARAMETERS angstrom
5.006 0.000 0.000
0.000 5.006 0.000
0.000 0.000 4.621
ATOMIC_POSITIONS crystal
Cd 0.000 0.000 0.000
Ni 0.500 0.500 0.500
P 0.000 0.000 0.500
Pt 0.000 0.500 0.000
Pt 0.500 0.000 0.000
```

(9)
VASP calculation (PBE-GGA) on RbCdNiP after structural relaxation. Values from VASP.

Properties
Calculated volume in Å³ per cell: 212.8
Calculated total energy in eV/atom: -3.58

Cell and atoms, written as Quantum ESPRESSO input:
```
&SYSTEM
  ibrav = 0, nat = 8, ntyp = 4
/
ATOMIC_SPECIES
Rb 85.47 Rb.upf
Cd 112.41 Cd.upf
Ni 58.69 Ni.upf
P 30.97 P.upf
CELL_PARAMETERS angstrom
4.024 0.000 0.000
0.000 4.024 0.000
0.000 0.000 13.137
ATOMIC_POSITIONS crystal
Rb 0.250 0.250 0.233
Rb 0.750 0.750 0.767
Cd 0.250 0.750 0.500
Cd 0.750 0.250 0.500
Ni 0.250 0.750 0.000
Ni 0.750 0.250 0.000
P 0.250 0.250 0.923
P 0.750 0.750 0.077
```

(10)
VASP calculation (PBE-GGA) on CdNiPRu2 after structural relaxation. Values from VASP.

Properties
Calculated volume in Å³ per cell: 114.6
Calculated total energy in eV/atom: -3.83

Cell and atoms, written as Quantum ESPRESSO input:
```
&SYSTEM
  ibrav = 0, nat = 5, ntyp = 4
/
ATOMIC_SPECIES
Cd 112.41 Cd.upf
Ni 58.69 Ni.upf
P 30.97 P.upf
Ru 101.07 Ru.upf
CELL_PARAMETERS angstrom
5.001 0.000 0.000
0.000 5.001 0.000
0.000 0.000 4.583
ATOMIC_POSITIONS crystal
Cd 0.000 0.000 0.000
Ni 0.500 0.500 0.500
P 0.000 0.000 0.500
Ru 0.000 0.500 0.000
Ru 0.500 0.000 0.000
```

(11)
VASP calculation (PBE-GGA) on CdNiP2S after structural relaxation. Values from VASP.

Properties
E_form (uncorrected) in eV/atom: 0.447
Calculated volume in Å³ per cell: 93.7

Cell and atoms, written as Quantum ESPRESSO input:
```
&SYSTEM
  ibrav = 0, nat = 5, ntyp = 4
/
ATOMIC_SPECIES
Cd 112.41 Cd.upf
Ni 58.69 Ni.upf
P 30.97 P.upf
S 32.06 S.upf
CELL_PARAMETERS angstrom
4.310 0.000 0.000
0.000 4.310 0.000
0.000 0.000 5.042
ATOMIC_POSITIONS crystal
Cd 0.000 0.000 0.000
Ni 0.500 0.500 0.500
P 0.000 0.500 0.500
P 0.500 0.000 0.500
S 0.500 0.500 0.000
```

(12)
VASP calculation (PBE-GGA) on CdNiP2S after structural relaxation. Values from VASP.

Properties
E_form (uncorrected) in eV/atom: 1.551
Calculated volume in Å³ per cell: 119.5

Cell and atoms, written as Quantum ESPRESSO input:
```
&SYSTEM
  ibrav = 0, nat = 5, ntyp = 4
/
ATOMIC_SPECIES
Cd 112.41 Cd.upf
Ni 58.69 Ni.upf
P 30.97 P.upf
S 32.06 S.upf
CELL_PARAMETERS angstrom
4.905 0.000 0.000
0.000 4.905 0.000
0.000 0.000 4.966
ATOMIC_POSITIONS crystal
Cd 0.000 0.000 0.000
Ni 0.500 0.500 0.500
P 0.000 0.500 0.000
P 0.500 0.000 0.000
S 0.000 0.000 0.500
```

(13)
VASP calculation (PBE-GGA) on Cd2NiSbP after structural relaxation. Values from VASP.

Properties
E_form (uncorrected) in eV/atom: 0.888
Calculated volume in Å³ per cell: 143.2

Cell and atoms, written as Quantum ESPRESSO input:
```
&SYSTEM
  ibrav = 0, nat = 5, ntyp = 4
/
ATOMIC_SPECIES
Cd 112.41 Cd.upf
Ni 58.69 Ni.upf
Sb 121.76 Sb.upf
P 30.97 P.upf
CELL_PARAMETERS angstrom
5.523 0.000 0.000
0.000 5.523 0.000
0.000 0.000 4.693
ATOMIC_POSITIONS crystal
Cd 0.000 0.500 0.000
Cd 0.500 0.000 0.000
Ni 0.000 0.000 0.500
Sb 0.000 0.000 0.000
P 0.500 0.500 0.500
```

no.,Fermi-level density of states (states/eV/cell)
1,7.7
2,2.5
3,1.9
4,4.2
5,4.4
6,3.3
7,29.5
8,7.6
9,4.2
10,9.6
11,3.6
12,7.3
13,2.4